# Tb2CdAg6 (GGA-PBE, relaxed)
data_Tb2CdAg6
_chemical_formula_sum 'Tb4 Cd2 Ag12'
_space_group_name_H-M_alt 'C 1 2/m 1'
_space_group_IT_number 12
_cell_length_a 10.819
_cell_length_b 6.234
_cell_length_c 5.793
_cell_angle_alpha 90.00
_cell_angle_beta 90.06
_cell_angle_gamma 90.00
loop_
_space_group_symop_operation_xyz
'x,y,z'
'-x,-y,-z'
'-x,y,-z'
'x,-y,z'
'x+1/2,y+1/2,z'
'-x+1/2,-y+1/2,-z'
'-x+1/2,y+1/2,-z'
'x+1/2,-y+1/2,z'
loop_
_atom_site_label
_atom_site_type_symbol
_atom_site_fract_x
_atom_site_fract_y
_atom_site_fract_z
Tb1 Tb 0.166 0.000 0.157
Cd1 Cd 0.000 0.500 0.000
Ag1 Ag 0.092 0.224 0.671
Ag2 Ag 0.184 0.500 0.328
# Electronic total energy in hartree per atom: -0.11729
# Energy relative to the elements in meV/atom: -160.3
# ΔE to the lowest computed polymorph in meV per atom: 21